# VPt5

An optimized crystal structure of VPt5 (PBE-GGA, Alexandria via LeMat-Bulk).

The spin magnetization comes out at 0.13 μB per atom. The calculation puts the energy of formation at -0.322 eV per atom. For the electronic total energy, the calculation gives -41.25 eV/cell.

Cell lengths 4.8364, 4.8364, 4.7973 Å; angles 99.65, 99.65, 120.16 degrees
Last column: nearest neighbours and their distance in Å.
Sites, in units of the cell vectors:
V 0.0000 0.0000 0.0000  12 Pt 2.76-2.80
Pt 0.1625 0.8375 0.5000  10 Pt 2.72-2.83, 2 V 2.76
Pt 0.3343 0.6657 0.0000  9 Pt 2.77-2.80, 3 V 2.78-2.80
Pt 0.5000 0.5000 0.5000  10 Pt 2.77-2.83, 2 V 2.77
Pt 0.6657 0.3343 0.0000  9 Pt 2.77-2.80, 3 V 2.78-2.80
Pt 0.8375 0.1625 0.5000  10 Pt 2.72-2.83, 2 V 2.76